Entry from Alexandria: a relaxed structure of YErN (GGA-PBE).

```
YErN
1.0
5.979 0.000 0.000
0.000 5.979 0.000
0.000 0.000 5.979
Y Er N
4 4 4
Cartesian
0.000 0.000 0.000
0.000 2.989 2.989
2.989 0.000 2.989
2.989 2.989 0.000
0.000 0.000 2.989
0.000 2.989 0.000
2.989 0.000 0.000
2.989 2.989 2.989
1.495 1.495 1.495
1.495 4.484 4.484
4.484 1.495 4.484
4.484 4.484 1.495
```

Summary:
Its total energy is -81.2 eV/cell. As for the space group: F-43m, No. 216. The calculation puts the excess energy over the best structure of this formula in the dataset at 792.5 meV per atom. For the total magnetization, the calculation gives 0.00 Bohr magnetons per cell. The value obtained for the volume is 213.72 Å³ per cell. For the uncorrected formation energy, the calculation gives -0.31 eV per atom.

Entry from Alexandria: a relaxed structure of YEr2N (GGA-PBE).

```
YEr2N
1.0
3.429 0.000 0.000
-1.714 2.969 0.000
0.000 0.000 28.033
Y Er N
3 6 3
Cartesian
0.000 0.000 0.000
0.000 1.979 18.688
1.714 0.990 9.344
0.000 0.000 3.358
0.000 0.000 24.675
0.000 1.979 15.331
0.000 1.979 22.046
1.714 0.990 5.987
1.714 0.990 12.702
0.000 0.000 14.016
0.000 1.979 4.672
1.714 0.990 23.360
```

Summary:
Its total energy is -80.1 eV/cell. As for the space group: R-3m, No. 166. For the total magnetization, the calculation gives 3.23 Bohr magnetons per cell. The value obtained for the volume is 285.38 Å³ per cell. For the uncorrected formation energy, the calculation gives -0.70 eV per atom.

Entry from Alexandria: a relaxed structure of Y4ErN4 (GGA-PBE).

```
Y4ErN4
1.0
-3.900 3.900 2.464
3.900 -3.900 2.464
3.900 3.900 -2.464
Y Er N
4 1 4
Cartesian
5.374 0.849 0.000
0.849 2.426 0.000
3.051 1.474 2.464
-1.474 3.051 2.464
0.000 0.000 2.464
3.137 1.597 0.000
2.304 -0.764 2.464
1.597 4.664 0.000
0.764 2.304 2.464
```

Summary:
Its total energy is -77.3 eV/cell. As for the space group: I4/m, No. 87. For the total magnetization, the calculation gives 0.00 Bohr magnetons per cell. The value obtained for the volume is 149.91 Å³ per cell. For the uncorrected formation energy, the calculation gives -1.51 eV per atom.

Entry from Alexandria: a relaxed structure of Y2ErN3 (GGA-PBE).

```
Y2ErN3
1.0
3.462 0.000 0.000
0.000 4.894 0.000
0.000 0.000 10.387
Y Er N
4 2 6
Cartesian
0.000 0.000 1.728
0.000 0.000 8.659
1.731 2.447 3.465
1.731 2.447 6.922
0.000 0.000 5.193
1.731 2.447 0.000
0.000 2.447 1.708
0.000 2.447 5.193
0.000 2.447 8.679
1.731 0.000 0.000
1.731 0.000 3.485
1.731 0.000 6.902
```

Summary:
Its total energy is -105.6 eV/cell. As for the space group: Immm, No. 71. For the total magnetization, the calculation gives 0.00 Bohr magnetons per cell. The value obtained for the volume is 175.99 Å³ per cell. For the uncorrected formation energy, the calculation gives -1.72 eV per atom.

Entry from Alexandria: a relaxed structure of YErN (GGA-PBE).

```
YErN
1.0
6.055 0.000 0.000
0.000 3.489 0.000
-2.033 0.000 5.850
Y Er N
2 2 2
Cartesian
-0.515 0.872 1.583
4.536 2.617 4.268
1.504 0.872 4.248
2.518 2.617 1.602
0.543 2.617 2.943
3.478 0.872 2.908
```

Summary:
Its total energy is -45.3 eV/cell. As for the space group: P2_1/m, No. 11. The calculation puts the excess energy over the best structure of this formula in the dataset at 7.0 meV per atom. For the total magnetization, the calculation gives 0.00 Bohr magnetons per cell. The value obtained for the volume is 123.59 Å³ per cell. For the uncorrected formation energy, the calculation gives -1.10 eV per atom.

Entry from Alexandria: a relaxed structure of YErN (GGA-PBE).

```
YErN
1.0
3.486 0.000 0.000
-1.743 3.019 0.000
0.000 0.000 5.928
Y Er N
1 1 1
Cartesian
0.000 0.000 0.000
1.743 1.006 2.669
0.000 2.012 1.393
```

Summary:
Its total energy is -22.5 eV/cell. As for the space group: P3m1, No. 156. The calculation puts the excess energy over the best structure of this formula in the dataset at 42.1 meV per atom. For the total magnetization, the calculation gives 0.77 Bohr magnetons per cell. The value obtained for the volume is 62.37 Å³ per cell. For the uncorrected formation energy, the calculation gives -1.06 eV per atom.

Entry from Alexandria: a relaxed structure of YEr3N4 (GGA-PBE).

```
YEr3N4
1.0
4.866 0.000 0.000
0.000 4.866 0.000
0.000 0.000 4.866
Y Er N
1 3 4
Cartesian
0.000 0.000 0.000
0.000 2.433 2.433
2.433 0.000 2.433
2.433 2.433 0.000
0.000 0.000 2.433
0.000 2.433 0.000
2.433 0.000 0.000
2.433 2.433 2.433
```

Summary:
Its total energy is -67.5 eV/cell. As for the space group: Pm-3m, No. 221. For the total magnetization, the calculation gives 0.00 Bohr magnetons per cell. The value obtained for the volume is 115.22 Å³ per cell. For the uncorrected formation energy, the calculation gives -1.76 eV per atom.

Entry from Alexandria: a relaxed structure of Y2Er4N (GGA-PBE).

```
Y2Er4N
1.0
4.728 0.000 0.000
0.000 4.728 0.000
0.000 0.000 17.632
Y Er N
4 8 2
Cartesian
0.000 0.000 3.006
0.000 0.000 14.625
2.364 2.364 5.810
2.364 2.364 11.822
0.000 0.000 6.496
0.000 0.000 11.136
0.000 2.364 0.000
0.000 2.364 8.816
2.364 0.000 0.000
2.364 0.000 8.816
2.364 2.364 2.320
2.364 2.364 15.312
0.000 0.000 8.816
2.364 2.364 0.000
```

Summary:
Its total energy is -83.2 eV/cell. As for the space group: I4/mmm, No. 139. For the total magnetization, the calculation gives 0.00 Bohr magnetons per cell. The value obtained for the volume is 394.19 Å³ per cell. For the uncorrected formation energy, the calculation gives -0.30 eV per atom.

- Look up the volume of the second one.
  285.38 Å³ per cell

Copy entry 5 word for word.
Entry from Alexandria: a relaxed structure of YErN (GGA-PBE).

```
YErN
1.0
6.055 0.000 0.000
0.000 3.489 0.000
-2.033 0.000 5.850
Y Er N
2 2 2
Cartesian
-0.515 0.872 1.583
4.536 2.617 4.268
1.504 0.872 4.248
2.518 2.617 1.602
0.543 2.617 2.943
3.478 0.872 2.908
```

Summary:
Its total energy is -45.3 eV/cell. As for the space group: P2_1/m, No. 11. The calculation puts the excess energy over the best structure of this formula in the dataset at 7.0 meV per atom. For the total magnetization, the calculation gives 0.00 Bohr magnetons per cell. The value obtained for the volume is 123.59 Å³ per cell. For the uncorrected formation energy, the calculation gives -1.10 eV per atom.